# 1
# NaZrMnRh2

A relaxed structure of NaZrMnRh2 (PBEsol, Alexandria via LeMat-Bulk).

Values from the calculation:
As for the volume: 16.95 A^3/atom. The space group is No. 123. The value obtained for the total energy is -30.795 eV/cell. The calculation puts the total moment at 0.7627 μB per atom.

a b c (Å): 4.200 4.492 4.492
angles (deg): 90.00 90.00 90.00
Site moments in Bohr magnetons follow the coordinates.
Atoms (fractional coordinates):
Rh1 0.000 0.000 0.500  0.18
Rh2 0.000 0.500 0.000  0.18
Na1 0.000 0.000 0.000  0.03
Zr1 0.500 0.500 0.500  -0.19
Mn1 0.500 0.000 0.000  3.69


# 2
# NaMn3Ru

A relaxed structure of NaMn3Ru (PBEsol, Alexandria via LeMat-Bulk).

Values from the calculation:
As for the volume: 17.15 A^3/atom. The space group is No. 221. The value obtained for the total energy is -29.463 eV/cell. Its energy above the most stable polymorph in this dataset is 1082 meV per atom. The calculation puts the total moment at 2.6838 μB per atom.

a b c (Å): 4.409 4.409 4.409
angles (deg): 90.00 90.00 90.00
Site moments in Bohr magnetons follow the coordinates.
Atoms (fractional coordinates):
Ru1 0.500 0.500 0.500  1.37
Na1 0.000 0.000 0.000  0.05
Mn1 0.000 0.000 0.500  3.80
Mn2 0.000 0.500 0.000  3.80
Mn3 0.500 0.000 0.000  3.80


# 3
# NaMn3Ru

A relaxed structure of NaMn3Ru (PBEsol, Alexandria via LeMat-Bulk).

Values from the calculation:
As for the volume: 21.42 A^3/atom. The space group is No. 221. The value obtained for the total energy is -34.872 eV/cell. Its energy above the most stable polymorph in this dataset is 0 meV per atom. The calculation puts the total moment at 2.4450 μB per atom.

a b c (Å): 4.749 4.749 4.749
angles (deg): 90.00 90.00 90.00
Site moments in Bohr magnetons follow the coordinates.
Atoms (fractional coordinates):
Mn1 0.000 0.500 0.000  3.82
Mn2 0.500 0.000 0.000  3.82
Mn3 0.000 0.000 0.500  3.82
Na1 0.500 0.500 0.500  -0.01
Ru1 0.000 0.000 0.000  0.06


# 4
# Na3MnS

A relaxed structure of Na3MnS (PBEsol, Alexandria via LeMat-Bulk).

Values from the calculation:
As for the volume: 31.10 A^3/atom. The space group is No. 221. The value obtained for the total energy is -14.447 eV/cell. For the formation energy without anion corrections, the calculation gives 0.7795 eV/atom. The calculation puts the total moment at 0.8395 μB per atom.

a b c (Å): 5.377 5.377 5.377
angles (deg): 90.00 90.00 90.00
Site moments in Bohr magnetons follow the coordinates.
Atoms (fractional coordinates):
Na1 0.500 0.000 0.000  0.00
Na2 0.000 0.000 0.500  0.00
Na3 0.000 0.500 0.000  0.00
Mn1 0.000 0.000 0.000  3.82
S1 0.500 0.500 0.500  0.01


- Among the records above, which one has the highest total moment?
  number 2


- What is the formula in the fourth record?
  Na3MnS